# 1
The following is a DFT calculation (PBE) of a relaxed structure of Ti2InN.

```
Ti2InN
1.0
-2.8473 -0.5275 -1.1847
-0.7882 -2.8722 -0.9582
-3.5921 -2.6074 5.6628
N Ti In
1 2 1
Direct
0.0000 0.0000 0.0000
0.7176 0.7176 0.8472
0.2824 0.2824 0.1528
0.5000 0.5000 0.5000
```

Output
Space-group type ... R-3m (166)
DFT total energy ... -7.755 eV per atom


# 2
The following is a DFT calculation (PBE) of a relaxed structure of Ti4InN.

```
Ti4InN
1.0
3.9928 0.0000 0.0000
0.0000 3.9928 0.0000
0.0000 0.0000 6.7894
Ti In N
4 1 1
Direct
0.5000 0.5000 0.8088
0.5000 0.5000 0.1912
0.5000 0.0000 0.5000
0.0000 0.5000 0.5000
0.0000 0.0000 0.0000
0.5000 0.5000 0.5000
```

Output
Energy above the most stable polymorph in this dataset ... 311 kJ/mol of formula units
Space-group type ... P4/mmm (123)
DFT total energy ... -7.267 eV per atom


Formation energy without anion corrections: -1.04 -0.16 (eV per atom)